HfRePd: relaxed, PBE.

## Properties
- Formation energy: 12.1 kcal/mol of atoms
- Final energy: -8.659 eV per atom
- Volume: 19.54 Å³/atom
- Offset from the most stable computed form: 0.0000 eV per atom

Cell lengths 4.3600, 4.3600, 4.3600 Å; angles 60.00, 60.00, 60.00 degrees
Sites, in units of the cell vectors:
1 Hf 0.2500 0.2500 0.2500
2 Pd 0.0000 0.0000 0.0000
3 Re 0.7500 0.7500 0.7500



YZnGe: relaxed, PBE.

## Properties
- Final energy: -4.224 eV per atom
- Volume: 24.78 Å³/atom

Cell lengths 4.7198, 4.7198, 4.7198 Å; angles 60.00, 60.00, 60.00 degrees
Sites, in units of the cell vectors:
1 Ge 0.7500 0.7500 0.7500
2 Y 0.5000 0.5000 0.5000
3 Zn 0.2500 0.2500 0.2500